First-principles (PBE-GGA) data for Pr8Ru3I4F after structural relaxation, as listed in Alexandria.

Geometry as POSCAR:
```
Pr8Ru3I4F
1.0
8.3235 0.0000 0.0000
0.0000 9.4863 0.7909
-4.1617 -4.1630 5.9035
Pr Ru I F
8 3 4 1
Direct
0.2330 0.6843 0.9514 Pr
0.2343 0.6852 0.4686 Pr
0.2702 0.3103 0.5403 Pr
0.7184 0.6843 0.9514 Pr
0.2816 0.3157 0.0486 Pr
0.7298 0.6897 0.4597 Pr
0.7657 0.3148 0.5314 Pr
0.7670 0.3157 0.0486 Pr
0.5000 0.5000 0.0000 Ru
0.5000 0.5000 0.5000 Ru
0.0000 0.5000 0.5000 Ru
0.5000 0.0000 0.0000 I
0.5000 0.0000 0.5000 I
0.0000 0.0000 0.0000 I
0.0000 0.0000 0.5000 I
0.0000 0.5000 0.0000 F
```

The space group is C2/m (12). The calculation puts the volume at 493.5 Å³ per cell. As for the total DFT energy (no corrections): -5.53 eV per atom. Its crystal system is monoclinic. As for the raw formation energy: -0.89 eV per atom.